# 1
YLuIrAu | PBE | relaxed

abc: 6.9615 6.9615 6.9615
angles: 90.00 90.00 90.00
Closest atoms and distances in Å follow each position.
Sites, in units of the cell vectors:
Y 0.0000 0.0000 0.0000  4 Ir 3.01, 4 Au 3.01
Y 0.0000 0.5000 0.5000  4 Ir 3.01, 4 Au 3.01
Y 0.5000 0.0000 0.5000  4 Ir 3.01, 4 Au 3.01
Y 0.5000 0.5000 0.0000  4 Au 3.01, 4 Ir 3.01
Lu 0.0000 0.0000 0.5000  4 Ir 3.01, 4 Au 3.01
Lu 0.0000 0.5000 0.0000  4 Ir 3.01, 4 Au 3.01
Lu 0.5000 0.0000 0.0000  4 Ir 3.01, 4 Au 3.01
Lu 0.5000 0.5000 0.5000  4 Ir 3.01, 4 Au 3.01
Ir 0.2500 0.2500 0.2500  4 Y 3.01, 4 Lu 3.01
Ir 0.2500 0.7500 0.7500  4 Y 3.01, 4 Lu 3.01
Ir 0.7500 0.2500 0.7500  4 Y 3.01, 4 Lu 3.01
Ir 0.7500 0.7500 0.2500  4 Y 3.01, 4 Lu 3.01
Au 0.2500 0.2500 0.7500  4 Y 3.01, 4 Lu 3.01
Au 0.2500 0.7500 0.2500  4 Y 3.01, 4 Lu 3.01
Au 0.7500 0.2500 0.2500  4 Y 3.01, 4 Lu 3.01
Au 0.7500 0.7500 0.7500  4 Y 3.01, 4 Lu 3.01

Output
ΔE_f: -0.85 eV/atom



# 2
Pr5SmTm4 | PBE | relaxed

abc: 9.3216 9.3216 10.5826
angles: 96.35 96.35 22.23
Closest atoms and distances in Å follow each position.
Sites, in units of the cell vectors:
Pr 0.0000 0.0000 0.0000  4 Tm 3.35, 2 Pr 3.59
Pr 0.3098 0.3098 0.8985  1 Tm 3.30, 2 Pr 3.59
Pr 0.3586 0.3586 0.2724  2 Tm 3.45-3.71, 4 Pr 3.59-3.84, 2 Sm 3.78
Pr 0.6414 0.6414 0.7276  2 Tm 3.45-3.71, 4 Pr 3.59-3.84, 2 Sm 3.78
Pr 0.6902 0.6902 0.1015  1 Tm 3.30, 2 Pr 3.59
Sm 0.0000 0.0000 0.5000  6 Tm 3.27-3.55, 2 Sm 3.59
Tm 0.1824 0.1824 0.4146  6 Tm 3.32-3.59, 1 Sm 3.55, 1 Pr 3.71
Tm 0.4535 0.4535 0.7361  2 Sm 3.27, 4 Pr 3.30-3.45, 4 Tm 3.32-3.59
Tm 0.5465 0.5465 0.2639  2 Sm 3.27, 4 Pr 3.30-3.45, 4 Tm 3.32-3.59
Tm 0.8176 0.8176 0.5854  6 Tm 3.32-3.59, 1 Sm 3.55, 1 Pr 3.71

Output
ΔE_f: 0.14 eV/atom



# 3
Tl6PtO2 | PBE | relaxed

abc: 8.7587 8.7587 7.3686
angles: 100.86 100.86 24.26
Closest atoms and distances in Å follow each position.
Sites, in units of the cell vectors:
Tl 0.0156 0.0156 0.2930  1 O 2.50
Tl 0.3259 0.3259 0.3995  3 O 2.57-2.72
Tl 0.3320 0.3320 0.8911  2 O 2.59, 1 Pt 2.83
Tl 0.6680 0.6680 0.1089  2 O 2.59, 1 Pt 2.83
Tl 0.6741 0.6741 0.6005  3 O 2.57-2.72
Tl 0.9844 0.9844 0.7070  1 O 2.50
Pt 0.5000 0.5000 0.0000  6 Tl 2.81-2.83
O 0.1644 0.1644 0.3536  6 Tl 2.50-2.72
O 0.8356 0.8356 0.6464  6 Tl 2.50-2.72

Output
Formation energy without anion corrections: -376 meV/atom



# 4
BeSiTe3 | PBE | relaxed

abc: 4.9663 4.9663 4.9663
angles: 90.00 90.00 90.00
Closest atoms and distances in Å follow each position.
Sites, in units of the cell vectors:
Be 0.0000 0.0000 0.0000  6 Te 2.48
Si 0.5000 0.5000 0.5000  12 Te 3.51
Te 0.0000 0.0000 0.5000  2 Be 2.48
Te 0.0000 0.5000 0.0000  2 Be 2.48
Te 0.5000 0.0000 0.0000  2 Be 2.48

Output
Formation energy without anion corrections: 581 meV/atom



# 5
Sm3CuAu2 | PBE | relaxed

abc: 5.1545 5.1545 12.6180
angles: 90.00 90.00 120.00
Closest atoms and distances in Å follow each position.
Sites, in units of the cell vectors:
Sm 0.0000 0.0000 0.2466  5 Au 3.11-3.20, 3 Cu 3.13
Sm 0.0000 0.0000 0.7534  5 Au 3.11-3.20, 3 Cu 3.13
Sm 0.3333 0.6667 0.4148  1 Cu 3.11, 7 Au 3.16-3.28
Sm 0.3333 0.6667 0.9187  4 Au 3.08-3.15, 4 Cu 3.15-3.17
Sm 0.6667 0.3333 0.0813  4 Au 3.08-3.15, 4 Cu 3.15-3.17
Sm 0.6667 0.3333 0.5852  1 Cu 3.11, 7 Au 3.16-3.28
Cu 0.3333 0.6667 0.1686  8 Sm 3.11-3.17
Cu 0.6667 0.3333 0.8314  8 Sm 3.11-3.17
Au 0.0000 0.0000 0.0000  8 Sm 3.11-3.15
Au 0.0000 0.0000 0.5000  8 Sm 3.16-3.20
Au 0.3333 0.6667 0.6747  8 Sm 3.08-3.28
Au 0.6667 0.3333 0.3253  8 Sm 3.08-3.28

Output
ΔE_f: -0.59 eV/atom



# 6
BeIn2Co | PBE | relaxed

abc: 4.1002 4.1002 7.4783
angles: 90.00 90.00 90.00
Closest atoms and distances in Å follow each position.
Sites, in units of the cell vectors:
Be 0.0000 0.0000 0.0000  8 In 2.77, 4 Co 2.90
Be 0.5000 0.5000 0.5000  8 In 2.77, 4 Co 2.90
In 0.0000 0.5000 0.2500  4 Be 2.77, 4 Co 2.77, 4 In 2.90
In 0.0000 0.5000 0.7500  4 Co 2.77, 4 Be 2.77, 4 In 2.90
In 0.5000 0.0000 0.2500  4 Be 2.77, 4 Co 2.77, 4 In 2.90
In 0.5000 0.0000 0.7500  4 Co 2.77, 4 Be 2.77, 4 In 2.90
Co 0.0000 0.0000 0.5000  8 In 2.77, 4 Be 2.90
Co 0.5000 0.5000 0.0000  8 In 2.77, 4 Be 2.90

Output
ΔE_f: 0.36 eV/atom



# 7
Ca2LaCo | PBE | relaxed

abc: 4.3816 4.3816 11.3004
angles: 90.00 90.00 90.00
Closest atoms and distances in Å follow each position.
Sites, in units of the cell vectors:
Ca 0.0000 0.5000 0.2500  4 Ca 3.10
Ca 0.0000 0.5000 0.7500  4 Ca 3.10
Ca 0.5000 0.0000 0.2500  4 Ca 3.10
Ca 0.5000 0.0000 0.7500  4 Ca 3.10
La 0.0000 0.0000 0.0000  4 Co 3.10
La 0.5000 0.5000 0.5000  4 Co 3.10
Co 0.0000 0.0000 0.5000  4 La 3.10
Co 0.5000 0.5000 0.0000  4 La 3.10

Output
ΔE_f: 0.38 eV/atom



# 8
Rb12Au3S5 | PBE | relaxed

abc: 17.3681 17.3681 17.3681
angles: 109.47 109.47 109.47
Closest atoms and distances in Å follow each position.
Sites, in units of the cell vectors:
Rb 0.0320 0.2075 0.1189  2 S 3.08-3.24
Rb 0.0320 0.3244 0.9130  2 S 3.08-3.24
Rb 0.0870 0.6189 0.4114  2 S 3.08-3.24
Rb 0.0870 0.9680 0.6756  2 S 3.08-3.24
Rb 0.0886 0.7075 0.6756  2 S 3.08-3.24
Rb 0.0886 0.8811 0.4130  2 S 3.08-3.24
Rb 0.1189 0.0320 0.2075  2 S 3.08-3.24
Rb 0.1189 0.5870 0.9114  2 S 3.08-3.24
Rb 0.1756 0.2075 0.5886  2 S 3.08-3.24
Rb 0.1756 0.4680 0.5870  2 S 3.08-3.24
Rb 0.2075 0.1189 0.0320  2 S 3.08-3.24
Rb 0.2075 0.5886 0.1756  2 S 3.08-3.24
Rb 0.2925 0.3244 0.9114  2 S 3.08-3.24
Rb 0.2925 0.4680 0.3811  2 S 3.08-3.24
Rb 0.3244 0.9114 0.2925  2 S 3.08-3.24
Rb 0.3244 0.9130 0.0320  2 S 3.08-3.24
Rb 0.3811 0.2925 0.4680  2 S 3.08-3.24
Rb 0.3811 0.5886 0.9130  2 S 3.08-3.24
Rb 0.4114 0.0870 0.6189  2 S 3.08-3.24
Rb 0.4114 0.8244 0.7925  2 S 3.08-3.24
Rb 0.4130 0.0886 0.8811  2 S 3.08-3.24
Rb 0.4130 0.8244 0.5320  2 S 3.08-3.24
Rb 0.4680 0.3811 0.2925  2 S 3.08-3.24
Rb 0.4680 0.5870 0.1756  2 S 3.08-3.24
Rb 0.5320 0.4130 0.8244  2 S 3.08-3.24
Rb 0.5320 0.6189 0.7075  2 S 3.08-3.24
Rb 0.5870 0.1756 0.4680  2 S 3.08-3.24
Rb 0.5870 0.9114 0.1189  2 S 3.08-3.24
Rb 0.5886 0.1756 0.2075  2 S 3.08-3.24
Rb 0.5886 0.9130 0.3811  2 S 3.08-3.24
Rb 0.6189 0.4114 0.0870  2 S 3.08-3.24
Rb 0.6189 0.7075 0.5320  2 S 3.08-3.24
Rb 0.6756 0.0870 0.9680  2 S 3.08-3.24
Rb 0.6756 0.0886 0.7075  2 S 3.08-3.24
Rb 0.7075 0.5320 0.6189  2 S 3.08-3.24
Rb 0.7075 0.6756 0.0886  2 S 3.08-3.24
Rb 0.7925 0.4114 0.8244  2 S 3.08-3.24
Rb 0.7925 0.8811 0.9680  2 S 3.08-3.24
Rb 0.8244 0.5320 0.4130  2 S 3.08-3.24
Rb 0.8244 0.7925 0.4114  2 S 3.08-3.24
Rb 0.8811 0.4130 0.0886  2 S 3.08-3.24
Rb 0.8811 0.9680 0.7925  2 S 3.08-3.24
Rb 0.9114 0.1189 0.5870  2 S 3.08-3.24
Rb 0.9114 0.2925 0.3244  2 S 3.08-3.24
Rb 0.9130 0.0320 0.3244  2 S 3.08-3.24
Rb 0.9130 0.3811 0.5886  2 S 3.08-3.24
Rb 0.9680 0.6756 0.0870  2 S 3.08-3.24
Rb 0.9680 0.7925 0.8811  2 S 3.08-3.24
Au 0.1250 0.2500 0.3750  8 Rb 3.87-3.89
Au 0.1250 0.3750 0.7500  8 Rb 3.87-3.89
Au 0.2500 0.3750 0.1250  8 Rb 3.87-3.89
Au 0.2500 0.8750 0.6250  8 Rb 3.87-3.89
Au 0.3750 0.1250 0.2500  8 Rb 3.87-3.89
Au 0.3750 0.7500 0.1250  8 Rb 3.87-3.89
Au 0.6250 0.2500 0.8750  8 Rb 3.87-3.89
Au 0.6250 0.8750 0.7500  8 Rb 3.87-3.89
Au 0.7500 0.1250 0.3750  8 Rb 3.87-3.89
Au 0.7500 0.6250 0.8750  8 Rb 3.87-3.89
Au 0.8750 0.6250 0.2500  8 Rb 3.87-3.89
Au 0.8750 0.7500 0.6250  8 Rb 3.87-3.89
S 0.0000 0.0000 0.0000  6 Rb 3.24
S 0.0000 0.0000 0.5000  6 Rb 3.24
S 0.0000 0.5000 0.0000  6 Rb 3.24
S 0.0000 0.5000 0.5000  6 Rb 3.24
S 0.1250 0.7500 0.8750  4 Rb 3.08
S 0.1250 0.8750 0.2500  4 Rb 3.08
S 0.2500 0.1250 0.8750  4 Rb 3.08
S 0.2500 0.6250 0.3750  4 Rb 3.08
S 0.3750 0.2500 0.6250  4 Rb 3.08
S 0.3750 0.6250 0.7500  4 Rb 3.08
S 0.5000 0.0000 0.0000  6 Rb 3.24
S 0.5000 0.0000 0.5000  6 Rb 3.24
S 0.5000 0.5000 0.0000  6 Rb 3.24
S 0.5000 0.5000 0.5000  6 Rb 3.24
S 0.6250 0.3750 0.2500  4 Rb 3.08
S 0.6250 0.7500 0.3750  4 Rb 3.08
S 0.7500 0.3750 0.6250  4 Rb 3.08
S 0.7500 0.8750 0.1250  4 Rb 3.08
S 0.8750 0.1250 0.7500  4 Rb 3.08
S 0.8750 0.2500 0.1250  4 Rb 3.08

Output
Formation energy without anion corrections: -628 meV/atom



# 9
Tb3NiAg | PBE | relaxed

abc: 3.8388 8.6315 8.6315
angles: 111.05 90.00 90.00
Closest atoms and distances in Å follow each position.
Sites, in units of the cell vectors:
Tb 0.0000 0.1235 0.8765  2 Ni 2.70
Tb 0.0000 0.4956 0.7426  2 Ni 2.69
Tb 0.0000 0.7426 0.4956  2 Ni 2.69
Tb 0.0000 0.8765 0.1235  2 Ni 2.70
Tb 0.5000 0.1347 0.4846  2 Ni 2.67
Tb 0.5000 0.4846 0.1347  2 Ni 2.67
Ni 0.5000 0.3097 0.8096  6 Tb 2.67-2.70
Ni 0.5000 0.8096 0.3097  6 Tb 2.67-2.70
Ag 0.0000 0.3091 0.3091  8 Tb 3.14-3.50
Ag 0.5000 0.8095 0.8095  8 Tb 3.20

Output
ΔE_f: -0.16 eV/atom



# 10
Pt2CS | PBE | relaxed

abc: 4.7995 4.7995 11.2146
angles: 90.00 90.00 90.00
Closest atoms and distances in Å follow each position.
Sites, in units of the cell vectors:
Pt 0.1753 0.2500 0.1250  2 C 2.03
Pt 0.2500 0.6753 0.3750  2 C 2.03
Pt 0.2500 0.8247 0.8750  2 C 2.03
Pt 0.3247 0.2500 0.6250  2 C 2.03
Pt 0.6753 0.7500 0.6250  2 C 2.03
Pt 0.7500 0.1753 0.8750  2 C 2.03
Pt 0.7500 0.3247 0.3750  2 C 2.03
Pt 0.8247 0.7500 0.1250  2 C 2.03
C 0.0000 0.0000 0.0000  4 Pt 2.03
C 0.0000 0.5000 0.2500  4 Pt 2.03
C 0.5000 0.0000 0.7500  4 Pt 2.03
C 0.5000 0.5000 0.5000  4 Pt 2.03
S 0.0000 0.0000 0.5000  4 Pt 2.42
S 0.0000 0.5000 0.7500  4 Pt 2.42
S 0.5000 0.0000 0.2500  4 Pt 2.42
S 0.5000 0.5000 0.0000  4 Pt 2.42

Output
Formation energy without anion corrections: 429 meV/atom



# 11
HoBPtRh2 | PBE | relaxed

abc: 4.2372 4.2372 4.2143
angles: 90.00 90.00 90.00
Closest atoms and distances in Å follow each position.
Sites, in units of the cell vectors:
Ho 0.0000 0.0000 0.0000  8 Rh 2.99, 4 Pt 3.00
B 0.5000 0.5000 0.5000  2 Pt 2.11, 4 Rh 2.12
Pt 0.5000 0.5000 0.0000  2 B 2.11
Rh 0.0000 0.5000 0.5000  2 B 2.12
Rh 0.5000 0.0000 0.5000  2 B 2.12

Output
ΔE_f: -0.88 eV/atom



no.,volume (Å³/atom),uncorrected energy (eV/atom)
1,21.1,-6.635
2,34.6,-4.508
3,25.3,-3.726
4,24.5,-3.134
5,24.2,-4.722
6,15.7,-3.716
7,27.1,-3.626
8,50.4,-2.732
9,26.7,-4.669
10,16.1,-5.929
11,15.1,-7.277